(1)
Density functional theory data (GGA-PBE) for a relaxed BaSrCu2Cl8 crystal.

- Calculated volume: 29.1 A^3/atom
- Total DFT energy (no corrections): -0.1322 Ha/atom
- Total moment: 2.08 μB per formula unit
- Formation energy without anion corrections: -1.38 eV/atom

extended XYZ file:
```
12
Lattice="-4.0253 -2.7639 4.3350 6.1008 1.5498 1.7356 -2.9467 8.5555 2.7186" Properties=species:S:1:pos:R:3 pbc="T T T"
Cl -0.7033 0.7483 6.2846
Cu -1.3469 0.6977 4.1116
Cl -0.1679 6.5930 2.5046
Cl -3.5802 0.5640 3.7465
Cl -0.6525 -1.3187 3.4709
Cl -0.1973 2.0586 2.7097
Cl 2.7091 6.7773 5.0427
Ba 0.0000 0.0000 0.0000
Cl -0.6738 5.2827 6.0795
Cu 0.4758 6.6436 4.6776
Cl -0.2187 8.6600 5.3184
Sr -1.4734 4.2777 1.3593
```

---

(2)
Density functional theory data (GGA-PBE) for a relaxed BaTbCu2Cl8 crystal.

- Calculated volume: 27.0 A^3/atom
- Total DFT energy (no corrections): -0.1463 Ha/atom
- Total moment: 1.10 μB per formula unit
- Formation energy without anion corrections: -1.52 eV/atom

extended XYZ file:
```
12
Lattice="-4.5344 3.3761 -3.0188 -0.9919 -2.0624 5.9862 3.5811 7.7180 3.2524" Properties=species:S:1:pos:R:3 pbc="T T T"
Cl -3.3309 1.6122 0.0035
Cu -2.4532 3.5037 0.8006
Cl 1.3856 7.4194 6.2164
Cl -2.3310 7.9946 1.1193
Cl 0.3857 1.0371 5.1006
Cu 0.5079 5.5279 5.4192
Cl 0.9799 6.3709 1.3267
Cl -0.6155 2.8021 2.0145
Tb 1.7905 3.8590 1.6262
Cl -2.9252 2.6607 4.8932
Ba 0.0000 0.0000 0.0000
Cl -1.3298 6.2295 4.2054
```

---

What did the second record say?
Density functional theory data (GGA-PBE) for a relaxed BaTbCu2Cl8 crystal.

- Calculated volume: 27.0 A^3/atom
- Total DFT energy (no corrections): -0.1463 Ha/atom
- Total moment: 1.10 μB per formula unit
- Formation energy without anion corrections: -1.52 eV/atom

extended XYZ file:
```
12
Lattice="-4.5344 3.3761 -3.0188 -0.9919 -2.0624 5.9862 3.5811 7.7180 3.2524" Properties=species:S:1:pos:R:3 pbc="T T T"
Cl -3.3309 1.6122 0.0035
Cu -2.4532 3.5037 0.8006
Cl 1.3856 7.4194 6.2164
Cl -2.3310 7.9946 1.1193
Cl 0.3857 1.0371 5.1006
Cu 0.5079 5.5279 5.4192
Cl 0.9799 6.3709 1.3267
Cl -0.6155 2.8021 2.0145
Tb 1.7905 3.8590 1.6262
Cl -2.9252 2.6607 4.8932
Ba 0.0000 0.0000 0.0000
Cl -1.3298 6.2295 4.2054
```

---

Q: The highest total DFT energy (no corrections) belongs to which entry?
A: BaSrCu2Cl8

---

Q: Which of these has the lowest formation energy without anion corrections?
A: BaTbCu2Cl8

---

Q: Number 1 is which compound?
A: BaSrCu2Cl8